[1]
LiNiPO4 (GGA+U, relaxed); total moment = 0.287 μB/atom; energy above the most stable polymorph in this dataset = 66.3 meV per atom; space group = Pbcn, No. 60
1.0
4.2810 0.0000 0.0000
0.0000 14.3066 0.0000
0.0000 0.0000 4.7678
Li Ni P O
4 4 4 16
direct
0.0000 0.2483 0.2500
0.0000 0.7517 0.7500
0.5000 0.2517 0.7500
0.5000 0.7483 0.2500
0.0000 0.0626 0.7500
0.0000 0.9374 0.2500
0.5000 0.4374 0.2500
0.5000 0.5626 0.7500
0.0000 0.3899 0.7500
0.0000 0.6101 0.2500
0.5000 0.1101 0.2500
0.5000 0.8899 0.7500
0.1856 0.3299 0.5334
0.1856 0.6701 0.0334
0.2408 0.4507 0.9110
0.2408 0.5493 0.4110
0.2592 0.0493 0.4110
0.2592 0.9507 0.9110
0.3144 0.1701 0.0334
0.3144 0.8299 0.5334
0.6856 0.1701 0.4666
0.6856 0.8299 0.9666
0.7408 0.0493 0.0890
0.7408 0.9507 0.5890
0.7592 0.4507 0.5890
0.7592 0.5493 0.0890
0.8144 0.3299 0.9666
0.8144 0.6701 0.4666

[2]
LiNiPO4 (GGA+U, relaxed); total moment = 0.291 μB/atom; energy above the most stable polymorph in this dataset = 33.4 meV per atom; space group = Pc, No. 7
1.0
8.9067 0.0000 0.0000
0.0000 4.9835 0.0000
-2.5648 0.0000 7.8788
Li Ni P O
4 4 4 16
direct
0.0000 0.1610 0.0000
0.0000 0.8390 0.5000
0.4951 0.3269 0.3639
0.4951 0.6731 0.8639
0.2617 0.1809 0.7738
0.2617 0.8191 0.2738
0.7619 0.3486 0.1429
0.7619 0.6514 0.6429
0.1281 0.3159 0.3816
0.1281 0.6841 0.8816
0.6272 0.1751 0.7571
0.6272 0.8249 0.2571
0.1099 0.1857 0.5441
0.1099 0.8143 0.0441
0.1412 0.3750 0.9039
0.1412 0.6250 0.4039
0.2772 0.2057 0.3417
0.2772 0.7943 0.8417
0.4779 0.2791 0.7965
0.4779 0.7209 0.2965
0.6161 0.1331 0.2302
0.6161 0.8669 0.7302
0.6423 0.3132 0.5950
0.6423 0.6868 0.0950
0.7728 0.2590 0.9094
0.7728 0.7410 0.4094
0.9824 0.2340 0.2307
0.9824 0.7660 0.7307

[3]
LiNi4P3O12 (GGA+U, relaxed); total moment = 0.397 μB/atom; energy above the most stable polymorph in this dataset = 16.9 meV per atom; space group = Pnnm, No. 58
1.0
9.5742 0.0000 0.0000
0.0000 16.3373 0.0000
0.0000 0.0000 6.1396
Li Ni P O
4 16 12 48
direct
0.2205 0.0865 0.0000
0.2795 0.5865 0.5000
0.7205 0.4135 0.5000
0.7795 0.9135 0.0000
0.0076 0.1383 0.5000
0.0399 0.5915 0.0000
0.2484 0.3001 0.2504
0.2484 0.3001 0.7496
0.2516 0.8001 0.2496
0.2516 0.8001 0.7504
0.4601 0.0915 0.5000
0.4924 0.6383 0.0000
0.5076 0.3617 0.0000
0.5399 0.9085 0.5000
0.7484 0.1999 0.2496
0.7484 0.1999 0.7504
0.7516 0.6999 0.2504
0.7516 0.6999 0.7496
0.9601 0.4085 0.0000
0.9924 0.8617 0.5000
0.0422 0.2187 0.0000
0.0468 0.6642 0.5000
0.2088 0.9649 0.5000
0.2912 0.4649 0.0000
0.4532 0.1642 0.0000
0.4578 0.7187 0.5000
0.5422 0.2813 0.5000
0.5468 0.8358 0.0000
0.7088 0.5351 0.0000
0.7912 0.0351 0.5000
0.9532 0.3358 0.5000
0.9578 0.7813 0.0000
0.1018 0.3100 0.0000
0.1026 0.6185 0.3007
0.1026 0.6185 0.6993
0.1056 0.1790 0.2056
0.1056 0.1790 0.7944
0.1145 0.3265 0.5000
0.1153 0.7548 0.5000
0.1189 0.7761 0.0000
0.1307 0.4789 0.0000
0.1414 0.0483 0.5000
0.1616 0.9114 0.2994
0.1616 0.9114 0.7006
0.3384 0.4114 0.2006
0.3384 0.4114 0.7994
0.3586 0.5483 0.0000
0.3693 0.9789 0.5000
0.3811 0.2761 0.5000
0.3847 0.2548 0.0000
0.3855 0.8265 0.0000
0.3944 0.6790 0.2944
0.3944 0.6790 0.7056
0.3974 0.1185 0.1993
0.3974 0.1185 0.8007
0.3982 0.8100 0.5000
0.6018 0.1900 0.5000
0.6026 0.8815 0.1993
0.6026 0.8815 0.8007
0.6056 0.3210 0.2944
0.6056 0.3210 0.7056
0.6145 0.1735 0.0000
0.6153 0.7452 0.0000
0.6189 0.7239 0.5000
0.6307 0.0211 0.5000
0.6414 0.4517 0.0000
0.6616 0.5886 0.2006
0.6616 0.5886 0.7994
0.8384 0.0886 0.2994
0.8384 0.0886 0.7006
0.8586 0.9517 0.5000
0.8693 0.5211 0.0000
0.8811 0.2239 0.0000
0.8847 0.2452 0.5000
0.8855 0.6735 0.5000
0.8944 0.8210 0.2056
0.8944 0.8210 0.7944
0.8974 0.3815 0.3007
0.8974 0.3815 0.6993
0.8982 0.6900 0.0000

[4]
LiNi3P3O11 (GGA+U, relaxed); total moment = 0.331 μB/atom; energy above the most stable polymorph in this dataset = 0.0 meV per atom; space group = P2_1/c, No. 14
1.0
9.6983 0.0000 0.0000
0.0000 9.5228 0.0000
-4.9163 0.0000 8.8501
Li Ni P O
4 12 12 44
direct
0.1792 0.1775 0.2082
0.1792 0.3225 0.7082
0.8208 0.6775 0.2918
0.8208 0.8225 0.7918
0.2308 0.6332 0.8763
0.2308 0.8668 0.3763
0.4056 0.1273 0.9007
0.4056 0.3727 0.4007
0.4183 0.6324 0.2366
0.4183 0.8676 0.7366
0.5817 0.1324 0.2634
0.5817 0.3676 0.7634
0.5944 0.6273 0.5993
0.5944 0.8727 0.0993
0.7692 0.1332 0.6237
0.7692 0.3668 0.1237
0.0961 0.5621 0.2478
0.0961 0.9379 0.7478
0.2629 0.5742 0.5750
0.2629 0.9258 0.0750
0.3886 0.1621 0.5678
0.3886 0.3379 0.0678
0.6114 0.6621 0.9322
0.6114 0.8379 0.4322
0.7371 0.0742 0.9250
0.7371 0.4258 0.4250
0.9039 0.0621 0.2522
0.9039 0.4379 0.7522
0.0419 0.5254 0.8590
0.0419 0.9746 0.3590
0.0789 0.7202 0.2352
0.0789 0.7798 0.7352
0.1195 0.5228 0.4194
0.1195 0.9772 0.9194
0.2340 0.5191 0.7000
0.2340 0.9809 0.2000
0.2548 0.5151 0.2585
0.2548 0.9849 0.7585
0.2639 0.2260 0.4177
0.2639 0.2740 0.9177
0.2755 0.7346 0.5682
0.2755 0.7654 0.0682
0.3785 0.2278 0.7062
0.3785 0.2722 0.2062
0.3869 0.0008 0.5654
0.3869 0.4992 0.0654
0.4161 0.5019 0.5854
0.4161 0.9981 0.0854
0.4498 0.7286 0.9105
0.4498 0.7714 0.4105
0.5502 0.2286 0.5895
0.5502 0.2714 0.0895
0.5839 0.0019 0.9146
0.5839 0.4981 0.4146
0.6131 0.5008 0.9346
0.6131 0.9992 0.4346
0.6215 0.7278 0.7938
0.6215 0.7722 0.2938
0.7245 0.2346 0.9318
0.7245 0.2654 0.4318
0.7361 0.7260 0.0823
0.7361 0.7740 0.5823
0.7452 0.0151 0.2415
0.7452 0.4849 0.7415
0.7660 0.0191 0.8000
0.7660 0.4809 0.3000
0.8805 0.0228 0.0806
0.8805 0.4772 0.5806
0.9211 0.2202 0.2648
0.9211 0.2798 0.7648
0.9581 0.0254 0.6410
0.9581 0.4746 0.1410

[5]
LiNiPO4 (GGA+U, relaxed); total moment = 0.285 μB/atom; energy above the most stable polymorph in this dataset = 21.4 meV per atom; space group = Pnma, No. 62
1.0
9.0253 0.0000 0.0000
0.0000 6.3040 0.0000
0.0000 0.0000 4.8787
Li Ni P O
4 4 4 16
direct
0.1623 0.2500 0.0210
0.3377 0.7500 0.5210
0.6623 0.2500 0.4790
0.8377 0.7500 0.9790
0.0000 0.0000 0.5000
0.0000 0.5000 0.5000
0.5000 0.0000 0.0000
0.5000 0.5000 0.0000
0.1787 0.7500 0.0241
0.3213 0.2500 0.5241
0.6787 0.7500 0.4759
0.8213 0.2500 0.9759
0.1195 0.5473 0.1597
0.1195 0.9527 0.1597
0.1349 0.7500 0.7125
0.1475 0.2500 0.5755
0.3525 0.7500 0.0755
0.3651 0.2500 0.2125
0.3805 0.0473 0.6597
0.3805 0.4527 0.6597
0.6195 0.5473 0.3403
0.6195 0.9527 0.3403
0.6349 0.7500 0.7875
0.6475 0.2500 0.9245
0.8525 0.7500 0.4245
0.8651 0.2500 0.2875
0.8805 0.0473 0.8403
0.8805 0.4527 0.8403

[6]
LiNiPO4 (GGA+U, relaxed); total moment = 0.280 μB/atom; energy above the most stable polymorph in this dataset = 49.6 meV per atom; space group = P31c, No. 159
1.0
7.3973 0.0000 0.0000
-3.6987 6.4063 0.0000
0.0000 0.0000 9.4846
Li Ni P O
6 6 6 24
direct
0.0505 0.2573 0.0000
0.2068 0.9495 0.0000
0.2573 0.0505 0.5000
0.7427 0.7932 0.0000
0.7932 0.7427 0.5000
0.9495 0.2068 0.5000
0.0588 0.5900 0.2242
0.4100 0.4688 0.2242
0.4688 0.4100 0.7242
0.5312 0.9412 0.2242
0.5900 0.0588 0.7242
0.9412 0.5312 0.7242
0.0000 0.0000 0.2495
0.0000 0.0000 0.7495
0.3333 0.6667 0.5232
0.3333 0.6667 0.9225
0.6667 0.3333 0.0232
0.6667 0.3333 0.4225
0.0000 0.0000 0.4119
0.0000 0.0000 0.9119
0.1039 0.8763 0.1915
0.1128 0.5029 0.5720
0.1237 0.2276 0.1915
0.1581 0.7071 0.8732
0.2276 0.1237 0.6915
0.2929 0.4510 0.8732
0.3333 0.6667 0.0921
0.3333 0.6667 0.3546
0.3901 0.8872 0.5720
0.4510 0.2929 0.3732
0.4971 0.6099 0.5720
0.5029 0.1128 0.0720
0.5490 0.8419 0.8732
0.6099 0.4971 0.0720
0.6667 0.3333 0.5921
0.6667 0.3333 0.8546
0.7071 0.1581 0.3732
0.7724 0.8961 0.1915
0.8419 0.5490 0.3732
0.8763 0.1039 0.6915
0.8872 0.3901 0.0720
0.8961 0.7724 0.6915

[7]
Li2Ni3P4O14 (GGA+U, relaxed); total moment = 0.255 μB/atom; energy above the most stable polymorph in this dataset = 0.0 meV per atom; space group = P2_1/c, No. 14
1.0
7.2841 0.0000 0.0000
0.0000 7.8773 0.0000
-3.2380 0.0000 8.8649
Li Ni P O
4 6 8 28
direct
0.2069 0.0851 0.1349
0.2069 0.4149 0.6349
0.7931 0.5851 0.3651
0.7931 0.9149 0.8651
0.3116 0.1253 0.4808
0.3116 0.3747 0.9808
0.5000 0.0000 0.0000
0.5000 0.5000 0.5000
0.6884 0.6253 0.0192
0.6884 0.8747 0.5192
0.0960 0.0479 0.7172
0.0960 0.4521 0.2172
0.3841 0.7064 0.1940
0.3841 0.7936 0.6940
0.6159 0.2064 0.3060
0.6159 0.2936 0.8060
0.9040 0.5479 0.7828
0.9040 0.9521 0.2828
0.1149 0.5044 0.7991
0.1149 0.9956 0.2991
0.1209 0.1666 0.5969
0.1209 0.3334 0.0969
0.1780 0.6377 0.1924
0.1780 0.8623 0.6924
0.2208 0.1094 0.8779
0.2208 0.3906 0.3779
0.3503 0.6212 0.6191
0.3503 0.8788 0.1191
0.4658 0.5793 0.1068
0.4658 0.9207 0.6068
0.4869 0.2054 0.1369
0.4869 0.2946 0.6369
0.5131 0.7054 0.3631
0.5131 0.7946 0.8631
0.5342 0.0793 0.3932
0.5342 0.4207 0.8932
0.6497 0.1212 0.8809
0.6497 0.3788 0.3809
0.7792 0.6095 0.6221
0.7792 0.8906 0.1221
0.8220 0.1377 0.3076
0.8220 0.3623 0.8076
0.8791 0.6666 0.9031
0.8791 0.8334 0.4031
0.8851 0.0044 0.7009
0.8851 0.4956 0.2009

[8]
LiNiPO4 (GGA+U, relaxed); total moment = 0.286 μB/atom; energy above the most stable polymorph in this dataset = 25.4 meV per atom; space group = Pnma, No. 62
1.0
10.2903 0.0000 0.0000
0.0000 6.1629 0.0000
0.0000 0.0000 4.6774
Li Ni P O
4 4 4 16
direct
0.2162 0.2500 0.0111
0.2838 0.7500 0.5111
0.7162 0.2500 0.4889
0.7838 0.7500 0.9889
0.0000 0.0000 0.5000
0.0000 0.5000 0.5000
0.5000 0.0000 0.0000
0.5000 0.5000 0.0000
0.0922 0.7500 0.0853
0.4078 0.2500 0.5853
0.5922 0.7500 0.4147
0.9078 0.2500 0.9147
0.0494 0.2500 0.7729
0.0852 0.7500 0.7536
0.1566 0.5430 0.2088
0.1566 0.9570 0.2088
0.3434 0.0430 0.7088
0.3434 0.4570 0.7088
0.4148 0.2500 0.2536
0.4506 0.7500 0.2729
0.5494 0.2500 0.7271
0.5852 0.7500 0.7464
0.6566 0.5430 0.2912
0.6566 0.9570 0.2912
0.8434 0.0430 0.7912
0.8434 0.4570 0.7912
0.9148 0.2500 0.2464
0.9506 0.7500 0.2271

[9]
LiNiPO4 (GGA+U, relaxed); total moment = 0.285 μB/atom; energy above the most stable polymorph in this dataset = 9.2 meV per atom; space group = Cmcm, No. 63
1.0
2.7088 -4.1158 0.0000
2.7088 4.1158 0.0000
0.0000 0.0000 6.1955
Li Ni P O
2 2 2 8
direct
0.1704 0.8296 0.7500
0.8296 0.1704 0.2500
0.5000 0.5000 0.0000
0.5000 0.5000 0.5000
0.1503 0.8497 0.2500
0.8497 0.1503 0.7500
0.1986 0.2634 0.7500
0.2547 0.7453 0.0455
0.2547 0.7453 0.4545
0.2634 0.1986 0.2500
0.7366 0.8014 0.7500
0.7453 0.2547 0.5455
0.7453 0.2547 0.9545
0.8014 0.7366 0.2500

[10]
LiNi2P2O6 (GGA+U, relaxed); raw total energy = -5.671 eV/atom; total moment = 0.100 μB/atom; space group = P-3, No. 147
1.0
5.2441 0.0000 0.0000
-2.6221 4.5415 0.0000
0.0000 0.0000 5.5757
Li Ni P O
1 2 2 6
direct
0.0000 0.0000 0.0000
0.3333 0.6667 0.2806
0.6667 0.3333 0.7194
0.3333 0.6667 0.6902
0.6667 0.3333 0.3098
0.0610 0.6858 0.7719
0.3142 0.3752 0.7719
0.3752 0.0610 0.2281
0.6248 0.9390 0.7719
0.6858 0.6248 0.2281
0.9390 0.3142 0.2281